Record 1
A plane-wave DFT calculation with PBE was carried out for a relaxed structure of Sr2PrCd3.

polymorph energy (0 for the lowest one) = 0.000 eV per atom
Fermi-level density of states = 0.91 states/eV per atom
formation energy = -0.326 eV per atom
volume = 191.6 Å³/cell

Cell and atoms, written as CIF:
```
data_Sr2PrCd3
_chemical_formula_sum 'Sr2 Pr1 Cd3'
_cell_length_a 3.9763
_cell_length_b 3.9763
_cell_length_c 12.1160
_cell_angle_alpha 90.00
_cell_angle_beta 90.00
_cell_angle_gamma 90.00
_symmetry_space_group_name_H-M 'P 4/m m m'
_symmetry_Int_Tables_number 123
_symmetry_space_group_name_Hall '-P 4 2'
loop_
_atom_site_label
_atom_site_type_symbol
_atom_site_fract_x
_atom_site_fract_y
_atom_site_fract_z
_atom_site_occupancy
Sr1 Sr 0.0000 0.0000 0.1710 1
Pr1 Pr 0.0000 0.0000 0.5000 1
Cd1 Cd 0.5000 0.5000 0.0000 1
Cd2 Cd 0.5000 0.5000 0.3481 1
```

---

Record 2
A plane-wave DFT calculation with PBE was carried out for a relaxed structure of Sr5PrCd6.

Fermi-level density of states = 0.69 states/eV per atom
formation energy = -0.327 eV per atom
volume = 782.6 Å³/cell

Cell and atoms, written as CIF:
```
data_Sr5PrCd6
_chemical_formula_sum 'Sr10 Pr2 Cd12'
_cell_length_a 5.6783
_cell_length_b 17.0221
_cell_length_c 8.0966
_cell_angle_alpha 90.00
_cell_angle_beta 90.00
_cell_angle_gamma 90.00
_symmetry_space_group_name_H-M 'C m m m'
_symmetry_Int_Tables_number 65
_symmetry_space_group_name_Hall '-C 2 2'
loop_
_atom_site_label
_atom_site_type_symbol
_atom_site_fract_x
_atom_site_fract_y
_atom_site_fract_z
_atom_site_occupancy
Sr1 Sr 0.0000 0.0000 0.0000 1
Sr2 Sr 0.0000 0.3324 0.0000 1
Sr3 Sr 0.0000 0.3326 0.5000 1
Pr1 Pr 0.0000 0.0000 0.5000 1
Cd1 Cd 0.0000 0.1619 0.2576 1
Cd2 Cd 0.0000 0.5000 0.2634 1
```

---

Record 3
A plane-wave DFT calculation with PBE was carried out for a relaxed structure of SrPrCd2.

Fermi-level density of states = 0.94 states/eV per atom
formation energy = -0.322 eV per atom
volume = 125.1 Å³/cell

Cell and atoms, written as CIF:
```
data_SrPrCd2
_chemical_formula_sum 'Sr1 Pr1 Cd2'
_cell_length_a 3.9761
_cell_length_b 3.9761
_cell_length_c 7.9121
_cell_angle_alpha 90.00
_cell_angle_beta 90.00
_cell_angle_gamma 90.00
_symmetry_space_group_name_H-M 'P 4/m m m'
_symmetry_Int_Tables_number 123
_symmetry_space_group_name_Hall '-P 4 2'
loop_
_atom_site_label
_atom_site_type_symbol
_atom_site_fract_x
_atom_site_fract_y
_atom_site_fract_z
_atom_site_occupancy
Sr1 Sr 0.0000 0.0000 0.0000 1
Pr1 Pr 0.0000 0.0000 0.5000 1
Cd1 Cd 0.5000 0.5000 0.2708 1
```

---

Record 4
A plane-wave DFT calculation with PBE was carried out for a relaxed structure of SrPr2Cd2.

Fermi-level density of states = 1.01 states/eV per atom
formation energy = -0.152 eV per atom
volume = 332.6 Å³/cell

Cell and atoms, written as CIF:
```
data_SrPr2Cd2
_chemical_formula_sum 'Sr2 Pr4 Cd4'
_cell_length_a 3.9364
_cell_length_b 22.0527
_cell_length_c 3.8319
_cell_angle_alpha 90.00
_cell_angle_beta 90.00
_cell_angle_gamma 90.00
_symmetry_space_group_name_H-M 'C m m m'
_symmetry_Int_Tables_number 65
_symmetry_space_group_name_Hall '-C 2 2'
loop_
_atom_site_label
_atom_site_type_symbol
_atom_site_fract_x
_atom_site_fract_y
_atom_site_fract_z
_atom_site_occupancy
Sr1 Sr 0.0000 0.0000 0.0000 1
Pr1 Pr 0.0000 0.1806 0.0000 1
Cd1 Cd 0.0000 0.4027 0.5000 1
```

---

Record 5
A plane-wave DFT calculation with PBE was carried out for a relaxed structure of Sr2PrCd3.

polymorph energy (0 for the lowest one) = 0.005 eV per atom
Fermi-level density of states = 0.94 states/eV per atom
formation energy = -0.320 eV per atom
volume = 764.6 Å³/cell

Cell and atoms, written as CIF:
```
data_Sr2PrCd3
_chemical_formula_sum 'Sr8 Pr4 Cd12'
_cell_length_a 5.6665
_cell_length_b 16.9334
_cell_length_c 7.9681
_cell_angle_alpha 90.00
_cell_angle_beta 90.00
_cell_angle_gamma 90.00
_symmetry_space_group_name_H-M 'C m m m'
_symmetry_Int_Tables_number 65
_symmetry_space_group_name_Hall '-C 2 2'
loop_
_atom_site_label
_atom_site_type_symbol
_atom_site_fract_x
_atom_site_fract_y
_atom_site_fract_z
_atom_site_occupancy
Sr1 Sr 0.0000 0.0000 0.0000 1
Sr2 Sr 0.0000 0.0000 0.5000 1
Sr3 Sr 0.0000 0.3340 0.0000 1
Pr1 Pr 0.0000 0.3351 0.5000 1
Cd1 Cd 0.0000 0.1714 0.2686 1
Cd2 Cd 0.0000 0.5000 0.2619 1
```

---

Record 6
A plane-wave DFT calculation with PBE was carried out for a relaxed structure of SrPrTlCd.

Fermi-level density of states = 0.59 states/eV per atom
formation energy = -0.360 eV per atom
volume = 506.9 Å³/cell

Cell and atoms, written as CIF:
```
data_SrPrTlCd
_chemical_formula_sum 'Sr4 Pr4 Tl4 Cd4'
_cell_length_a 7.9731
_cell_length_b 7.9731
_cell_length_c 7.9731
_cell_angle_alpha 90.00
_cell_angle_beta 90.00
_cell_angle_gamma 90.00
_symmetry_space_group_name_H-M 'F -4 3 m'
_symmetry_Int_Tables_number 216
_symmetry_space_group_name_Hall 'F -4 2 3'
loop_
_atom_site_label
_atom_site_type_symbol
_atom_site_fract_x
_atom_site_fract_y
_atom_site_fract_z
_atom_site_occupancy
Sr1 Sr 0.0000 0.0000 0.0000 1
Pr1 Pr 0.0000 0.0000 0.5000 1
Tl1 Tl 0.2500 0.2500 0.7500 1
Cd1 Cd 0.2500 0.2500 0.2500 1
```

---

Record 7
A plane-wave DFT calculation with PBE was carried out for a relaxed structure of TbPr2Cd3.

Fermi-level density of states = 1.09 states/eV per atom
formation energy = -0.315 eV per atom
volume = 340.3 Å³/cell

Cell and atoms, written as CIF:
```
data_TbPr2Cd3
_chemical_formula_sum 'Tb2 Pr4 Cd6'
_cell_length_a 5.4320
_cell_length_b 5.4320
_cell_length_c 13.3170
_cell_angle_alpha 90.00
_cell_angle_beta 90.00
_cell_angle_gamma 120.00
_symmetry_space_group_name_H-M 'P -3 m 1'
_symmetry_Int_Tables_number 164
_symmetry_space_group_name_Hall '-P 3 2"'
loop_
_atom_site_label
_atom_site_type_symbol
_atom_site_fract_x
_atom_site_fract_y
_atom_site_fract_z
_atom_site_occupancy
Tb1 Tb 0.3333 0.6667 0.1665 1
Pr1 Pr 0.0000 0.0000 0.0000 1
Pr2 Pr 0.0000 0.0000 0.5000 1
Pr3 Pr 0.3333 0.6667 0.6700 1
Cd1 Cd 0.0000 0.0000 0.2461 1
Cd2 Cd 0.3333 0.6667 0.4137 1
Cd3 Cd 0.3333 0.6667 0.9181 1
```

---

Record 8
A plane-wave DFT calculation with PBE was carried out for a relaxed structure of TbPr6Cd2.

polymorph energy (0 for the lowest one) = 0.062 eV per atom
Fermi-level density of states = 1.24 states/eV per atom
formation energy = -0.070 eV per atom
volume = 1171.2 Å³/cell

Cell and atoms, written as CIF:
```
data_TbPr6Cd2
_chemical_formula_sum 'Tb4 Pr24 Cd8'
_cell_length_a 15.8592
_cell_length_b 11.8212
_cell_length_c 6.2821
_cell_angle_alpha 90.00
_cell_angle_beta 96.06
_cell_angle_gamma 90.00
_symmetry_space_group_name_H-M 'C 1 2/c 1'
_symmetry_Int_Tables_number 15
loop_
_symmetry_equiv_pos_as_xyz
'x,y,z'
'-x,-y,-z'
'-x,y,-z+1/2'
'x,-y,z+1/2'
'x+1/2,y+1/2,z'
'-x+1/2,-y+1/2,-z'
'-x+1/2,y+1/2,-z+1/2'
'x+1/2,-y+1/2,z+1/2'
loop_
_atom_site_label
_atom_site_type_symbol
_atom_site_fract_x
_atom_site_fract_y
_atom_site_fract_z
_atom_site_occupancy
Tb1 Tb 0.0000 0.1030 0.2500 1
Pr1 Pr 0.0572 0.3739 0.5092 1
Pr2 Pr 0.1168 0.1501 0.8130 1
Pr3 Pr 0.2240 0.1273 0.3361 1
Cd1 Cd 0.1643 0.3771 0.0917 1
```

---

Record 9
A plane-wave DFT calculation with PBE was carried out for a relaxed structure of TbPr4Cd.

polymorph energy (0 for the lowest one) = 0.093 eV per atom
Fermi-level density of states = 1.36 states/eV per atom
formation energy = -0.002 eV per atom
volume = 805.0 Å³/cell

Cell and atoms, written as CIF:
```
data_TbPr4Cd
_chemical_formula_sum 'Tb4 Pr16 Cd4'
_cell_length_a 9.0504
_cell_length_b 14.5684
_cell_length_c 6.4749
_cell_angle_alpha 90.00
_cell_angle_beta 109.45
_cell_angle_gamma 90.00
_symmetry_space_group_name_H-M 'C 1 2/c 1'
_symmetry_Int_Tables_number 15
loop_
_symmetry_equiv_pos_as_xyz
'x,y,z'
'-x,-y,-z'
'-x,y,-z+1/2'
'x,-y,z+1/2'
'x+1/2,y+1/2,z'
'-x+1/2,-y+1/2,-z'
'-x+1/2,y+1/2,-z+1/2'
'x+1/2,-y+1/2,z+1/2'
loop_
_atom_site_label
_atom_site_type_symbol
_atom_site_fract_x
_atom_site_fract_y
_atom_site_fract_z
_atom_site_occupancy
Tb1 Tb 0.0000 0.0877 0.2500 1
Pr1 Pr 0.0978 0.3089 0.5469 1
Pr2 Pr 0.2133 0.1169 0.8756 1
Cd1 Cd 0.0000 0.4988 0.2500 1
```

---

Record 10
A plane-wave DFT calculation with PBE was carried out for a relaxed structure of TbPrCd2.

Fermi-level density of states = 1.14 states/eV per atom
formation energy = -0.316 eV per atom
volume = 111.6 Å³/cell

Cell and atoms, written as CIF:
```
data_TbPrCd2
_chemical_formula_sum 'Tb1 Pr1 Cd2'
_cell_length_a 3.7885
_cell_length_b 3.7885
_cell_length_c 7.7757
_cell_angle_alpha 90.00
_cell_angle_beta 90.00
_cell_angle_gamma 90.00
_symmetry_space_group_name_H-M 'P 4/m m m'
_symmetry_Int_Tables_number 123
_symmetry_space_group_name_Hall '-P 4 2'
loop_
_atom_site_label
_atom_site_type_symbol
_atom_site_fract_x
_atom_site_fract_y
_atom_site_fract_z
_atom_site_occupancy
Tb1 Tb 0.0000 0.0000 0.0000 1
Pr1 Pr 0.0000 0.0000 0.5000 1
Cd1 Cd 0.5000 0.5000 0.2328 1
```

---

The lowest Fermi-level density of states belongs to which entry?
SrPrTlCd

---

What is the formula in the sixth record?
SrPrTlCd

---

formation energy of number 4 (SrPr2Cd2)?
-0.152 eV per atom

---

Among the records above, which one has the highest volume?
TbPr6Cd2